(1)
A plane-wave DFT calculation with SCAN was carried out for a crystal of YZr2Zn relaxed with PBEsol.

Formation energy = -0.562 eV per formula unit
Total magnetic moment = 0.00 Bohr magnetons per cell
Electronic total energy = -25.830 eV/atom
Crystal system = tetragonal

Lattice parameters (Å, degrees): 3.275 3.275 8.157 90.00 90.00 90.00
Fractional coordinates of all 4 atoms:
Y: 0.000 0.000 0.528
Zr: 0.500 0.500 0.230
Zr: 0.000 0.000 0.974
Zn: 0.500 0.500 0.768

(2)
A plane-wave DFT calculation with SCAN was carried out for a crystal of TeRh2 relaxed with PBEsol.

Excess energy over the best structure of this formula in the dataset = 1.03 eV/f.u.
Total magnetic moment = 0.00 Bohr magnetons per cell
Electronic total energy = -34.852 eV/atom
Formation energy from raw total energies = 80 meV per atom
Crystal system = tetragonal

Lattice parameters (Å, degrees): 3.244 3.244 5.137 108.41 108.41 90.00
Fractional coordinates of all 3 atoms:
Te: 0.000 0.000 0.000
Rh: 0.658 0.658 0.317
Rh: 0.342 0.342 0.683

(3)
A plane-wave DFT calculation with SCAN was carried out for a crystal of Ba2CrF2 relaxed with PBEsol.

Total magnetic moment = 3.75 Bohr magnetons per cell
Electronic total energy = -22.828 eV/atom
Formation energy from raw total energies = -1915 meV per atom
Crystal system = tetragonal

Lattice parameters (Å, degrees): 5.602 5.801 5.602 118.87 90.00 118.87
Fractional coordinates of all 5 atoms:
F: 0.770 0.541 0.770
F: 0.230 0.459 0.230
Ba: 0.750 0.500 0.250
Ba: 0.250 0.500 0.750
Cr: 0.000 0.000 0.000

(4)
A plane-wave DFT calculation with SCAN was carried out for a crystal of CaH12Br2O6 relaxed with PBEsol.

Total magnetic moment = 0.00 Bohr magnetons per cell
Electronic total energy = -7.318 eV/atom
Crystal system = trigonal

Lattice parameters (Å, degrees): 3.915 7.996 7.996 120.00 90.00 90.00
Fractional coordinates of all 21 atoms:
H: 0.898 0.427 0.099
H: 0.102 0.099 0.427
H: 0.473 0.887 0.662
H: 0.473 0.775 0.113
H: 0.102 0.573 0.672
H: 0.473 0.338 0.225
H: 0.898 0.672 0.573
H: 0.527 0.662 0.887
H: 0.527 0.225 0.338
H: 0.898 0.901 0.328
H: 0.102 0.328 0.901
H: 0.527 0.113 0.775
O: 0.000 0.697 0.697
O: 0.000 0.000 0.303
O: 0.500 0.206 0.206
O: 0.500 0.794 0.000
O: 0.500 0.000 0.794
O: 0.000 0.303 0.000
Ca: 0.000 0.000 0.000
Br: 0.428 0.333 0.667
Br: 0.572 0.667 0.333

(5)
A plane-wave DFT calculation with SCAN was carried out for a crystal of NbAuS3 relaxed with PBEsol.

Total magnetic moment = 1.94 Bohr magnetons per cell
Electronic total energy = -25.511 eV/atom
Formation energy from raw total energies = 723 meV per atom
Crystal system = cubic

Lattice parameters (Å, degrees): 4.672 4.672 4.672 90.00 90.00 90.00
Fractional coordinates of all 5 atoms:
S: 0.500 0.000 0.000
S: 0.000 0.500 0.000
S: 0.000 0.000 0.500
Nb: 0.500 0.500 0.500
Au: 0.000 0.000 0.000

(6)
A plane-wave DFT calculation with SCAN was carried out for a crystal of SrY2Cd relaxed with PBEsol.

Formation energy = 0.036 eV per formula unit
Total magnetic moment = 0.81 Bohr magnetons per cell
Electronic total energy = -27.085 eV/atom
Crystal system = trigonal

Lattice parameters (Å, degrees): 3.677 3.677 11.303 80.64 80.64 60.00
Fractional coordinates of all 4 atoms:
Cd: 0.500 0.500 0.500
Y: 0.764 0.764 0.709
Y: 0.236 0.236 0.291
Sr: 0.000 0.000 0.000

(7)
A plane-wave DFT calculation with SCAN was carried out for a crystal of CrSbSe2 relaxed with PBEsol.

Excess energy over the best structure of this formula in the dataset = 2.31 eV/f.u.
Total magnetic moment = 4.14 Bohr magnetons per cell
Electronic total energy = -23.903 eV/atom
Formation energy from raw total energies = 47 meV per atom
Crystal system = tetragonal

Lattice parameters (Å, degrees): 3.435 4.842 4.842 90.00 90.00 90.00
Fractional coordinates of all 4 atoms:
Se: 0.000 0.000 0.500
Se: 0.000 0.500 0.000
Cr: 0.500 0.500 0.500
Sb: 0.500 0.000 0.000

(8)
A plane-wave DFT calculation with SCAN was carried out for a crystal of CeCrO3 relaxed with PBEsol.

Total magnetic moment = 7.99 Bohr magnetons per cell
Electronic total energy = -19.507 eV/atom
Formation energy from raw total energies = -3178 meV per atom
Crystal system = orthorhombic

Lattice parameters (Å, degrees): 5.292 5.573 7.583 90.00 90.00 90.00
Fractional coordinates of all 20 atoms:
O: 0.806 0.700 0.548
O: 0.094 0.019 0.750
O: 0.194 0.300 0.048
O: 0.594 0.481 0.250
O: 0.306 0.800 0.048
O: 0.306 0.800 0.452
O: 0.906 0.981 0.250
O: 0.694 0.200 0.952
O: 0.406 0.519 0.750
O: 0.194 0.300 0.452
O: 0.806 0.700 0.952
O: 0.694 0.200 0.548
Ce: 0.518 0.928 0.750
Ce: 0.018 0.572 0.250
Ce: 0.982 0.428 0.750
Ce: 0.482 0.072 0.250
Cr: 0.000 0.000 0.500
Cr: 0.500 0.500 0.500
Cr: 0.500 0.500 0.000
Cr: 0.000 0.000 0.000